1.
Density functional theory data (PBEsol) for a relaxed structure of RuPb2Se.

- magnetization (Bohr magnetons per cell) = 0.00
- ρ (g cm⁻³) = 11.65
- electronic total energy (eV per atom) = -4.9902
- formation energy without anion corrections (meV/atom) = 514.8
- V (Å³/f.u.) = 84.7

a = 4.9303 Å, b = 4.9303 Å, c = 4.9303 Å
α = 60.00°, β = 60.00°, γ = 60.00°
With the nearest neighbours (Å) after each atom.
Fractional coordinates of all 4 atoms:
1 Ru 0.0000 0.0000 0.0000  4 Pb 3.02, 4 Se 3.02
2 Pb 0.5000 0.5000 0.5000  4 Se 3.02, 4 Pb 3.02
3 Pb 0.7500 0.7500 0.7500  4 Pb 3.02, 4 Ru 3.02
4 Se 0.2500 0.2500 0.2500  4 Pb 3.02, 4 Ru 3.02

***

2.
Density functional theory data (PBEsol) for a relaxed structure of Cu3As.

- magnetization (Bohr magnetons per cell) = 0.00
- ρ (g cm⁻³) = 8.67
- electronic total energy (eV per atom) = -4.4468
- V (Å³/f.u.) = 50.9
- formation energy from the elements (eV per atom) = 0.080

a = 2.9562 Å, b = 3.4148 Å, c = 5.0379 Å
α = 90.00°, β = 90.00°, γ = 90.00°
With the nearest neighbours (Å) after each atom.
Fractional coordinates of all 4 atoms:
1 Cu 0.0000 0.0000 0.0000  2 As 2.52, 8 Cu 2.57
2 Cu 0.5000 0.5000 0.2427  6 Cu 2.45-2.59, 4 As 2.60
3 Cu 0.5000 0.5000 0.7573  6 Cu 2.45-2.59, 4 As 2.60
4 As 0.0000 0.0000 0.5000  10 Cu 2.52-2.60

***

3.
Density functional theory data (PBEsol) for a relaxed structure of LiY2Au2.

- magnetization (Bohr magnetons per cell) = 0.00
- ρ (g cm⁻³) = 8.42
- electronic total energy (eV per atom) = -5.3831
- V (Å³/f.u.) = 114.1
- formation energy from the elements (eV per atom) = -0.691

a = 7.8279 Å, b = 7.8279 Å, c = 3.7236 Å
α = 90.00°, β = 90.00°, γ = 90.00°
With the nearest neighbours (Å) after each atom.
Fractional coordinates of all 10 atoms:
1 Li 0.0000 0.0000 0.0000  4 Au 3.05
2 Li 0.5000 0.5000 0.0000  4 Au 3.05
3 Y 0.1629 0.3371 0.5000  6 Au 2.91-2.99
4 Y 0.3371 0.8371 0.5000  6 Au 2.91-2.99
5 Y 0.6629 0.1629 0.5000  6 Au 2.91-2.99
6 Y 0.8371 0.6629 0.5000  6 Au 2.91-2.99
7 Au 0.1351 0.6351 0.0000  6 Y 2.91-2.99, 1 Au 2.99, 2 Li 3.05
8 Au 0.3649 0.1351 0.0000  6 Y 2.91-2.99, 1 Au 2.99, 2 Li 3.05
9 Au 0.6351 0.8649 0.0000  6 Y 2.91-2.99, 1 Au 2.99, 2 Li 3.05
10 Au 0.8649 0.3649 0.0000  6 Y 2.91-2.99, 1 Au 2.99, 2 Li 3.05

***

4.
Density functional theory data (PBEsol) for a relaxed structure of Li2ZrTa.

- magnetization (Bohr magnetons per cell) = 0.00
- offset from the most stable computed form (kJ per mole of atoms) = 0.0
- ρ (g cm⁻³) = 6.36
- electronic total energy (eV per atom) = -6.0272
- V (Å³/f.u.) = 74.7
- formation energy from the elements (eV per atom) = 0.366

a = 2.9349 Å, b = 4.7317 Å, c = 5.3778 Å
α = 90.00°, β = 90.00°, γ = 90.00°
With the nearest neighbours (Å) after each atom.
Fractional coordinates of all 4 atoms:
1 Li 0.0000 0.0000 0.0000  6 Li 2.78-2.93, 4 Ta 3.06
2 Li 0.5000 0.5000 0.0000  6 Li 2.78-2.93, 4 Zr 3.06
3 Zr 0.0000 0.5000 0.5000  4 Ta 2.78, 2 Zr 2.93, 4 Li 3.06
4 Ta 0.5000 0.0000 0.5000  4 Zr 2.78, 2 Ta 2.93, 4 Li 3.06

***

5.
Density functional theory data (PBEsol) for a relaxed structure of SmRe2.

- magnetization (Bohr magnetons per cell) = 0.00
- ρ (g cm⁻³) = 15.55
- electronic total energy (eV per atom) = -10.6481
- V (Å³/f.u.) = 55.8
- formation energy from the elements (eV per atom) = -0.063

a = 5.4242 Å, b = 5.4242 Å, c = 8.7656 Å
α = 90.00°, β = 90.00°, γ = 120.00°
With the nearest neighbours (Å) after each atom.
Fractional coordinates of all 12 atoms:
1 Sm 0.3333 0.6667 0.0626  12 Re 3.14-3.18, 4 Sm 3.29-3.32
2 Sm 0.3333 0.6667 0.4374  12 Re 3.14-3.18, 4 Sm 3.29-3.32
3 Sm 0.6667 0.3333 0.5626  12 Re 3.14-3.18, 4 Sm 3.29-3.32
4 Sm 0.6667 0.3333 0.9374  12 Re 3.14-3.18, 4 Sm 3.29-3.32
5 Re 0.0000 0.0000 0.0000  6 Re 2.71
6 Re 0.0000 0.0000 0.5000  6 Re 2.71
7 Re 0.1702 0.3404 0.7500  6 Re 2.65-2.77
8 Re 0.1702 0.8298 0.7500  6 Re 2.65-2.77
9 Re 0.3404 0.1702 0.2500  6 Re 2.65-2.77
10 Re 0.6596 0.8298 0.7500  6 Re 2.65-2.77
11 Re 0.8298 0.1702 0.2500  6 Re 2.65-2.77
12 Re 0.8298 0.6596 0.2500  6 Re 2.65-2.77

***

6.
Density functional theory data (PBEsol) for a relaxed structure of LaSbIrI2.

- magnetization (Bohr magnetons per cell) = 1.59
- ρ (g cm⁻³) = 5.15
- electronic total energy (eV per atom) = -3.6184
- formation energy without anion corrections (meV/atom) = 1033.7
- V (Å³/f.u.) = 228.0

a = 5.9735 Å, b = 5.9735 Å, c = 6.3884 Å
α = 90.00°, β = 90.00°, γ = 90.00°
With the nearest neighbours (Å) after each atom.
Fractional coordinates of all 5 atoms:
1 La 0.0000 0.0000 0.0000  4 I 2.99, 2 Sb 3.19
2 Sb 0.0000 0.0000 0.5000  2 La 3.19
3 Ir 0.5000 0.5000 0.5000  4 Sb 4.22, 8 I 4.37
4 I 0.0000 0.5000 0.0000  2 La 2.99
5 I 0.5000 0.0000 0.0000  2 La 2.99

***

Please write out number 2 again, unchanged.
Density functional theory data (PBEsol) for a relaxed structure of Cu3As.

- magnetization (Bohr magnetons per cell) = 0.00
- ρ (g cm⁻³) = 8.67
- electronic total energy (eV per atom) = -4.4468
- V (Å³/f.u.) = 50.9
- formation energy from the elements (eV per atom) = 0.080

a = 2.9562 Å, b = 3.4148 Å, c = 5.0379 Å
α = 90.00°, β = 90.00°, γ = 90.00°
With the nearest neighbours (Å) after each atom.
Fractional coordinates of all 4 atoms:
1 Cu 0.0000 0.0000 0.0000  2 As 2.52, 8 Cu 2.57
2 Cu 0.5000 0.5000 0.2427  6 Cu 2.45-2.59, 4 As 2.60
3 Cu 0.5000 0.5000 0.7573  6 Cu 2.45-2.59, 4 As 2.60
4 As 0.0000 0.0000 0.5000  10 Cu 2.52-2.60

***

What is the formula in the second record? Cu3As

***

Among the records above, which one has the highest electronic total energy? LaSbIrI2

***

Which value of ρ does entry 1 give? 11.65 g cm⁻³